(1)
DFT (PBE) results for crystalline TbTaP2 at its relaxed geometry.

N(E_F) (states/eV/f.u.): 1.6
Energy of formation from the pure elements (eV/atom): -1.071
Final energy (eV per formula unit): -31.6

Cell: 3.7540 3.7540 18.6622 Å, 90.00 90.00 120.00°
Space group R-3m (No. 166, hexagonal axes)
One atom of each set of equivalent atoms:
Tb1 0.0000 0.0000 0.0000 [3 per cell]
Ta1 0.0000 0.0000 0.5000 [3 per cell]
P1 0.0000 0.0000 0.2405 [6 per cell]


(2)
DFT (PBE) results for crystalline HOs2RuW at its relaxed geometry.

N(E_F) (states/eV/f.u.): 1.7
Final energy (eV per formula unit): -47.8

Cell: 3.928 3.928 3.923 Å, 90.00 90.00 90.00°
Space group P4/mmm (No. 123)
One atom of each set of equivalent atoms:
H1 0.000 0.000 0.000 [1 per cell]
Os1 0.000 0.500 0.000 [2 per cell]
Ru1 0.000 0.000 0.500 [1 per cell]
W1 0.500 0.500 0.500 [1 per cell]


(3)
DFT (PBE) results for crystalline MgH at its relaxed geometry.

N(E_F) (states/eV/f.u.): 0.3
Final energy (eV per formula unit): -4.9

Cell: 3.264 9.506 4.885 Å, 90.00 90.00 90.00°
Space group Pmmn (No. 59, origin choice 2)
One atom of each set of equivalent atoms:
Mg1 0.250 0.071 0.237 [4 per cell]
Mg2 0.250 0.750 0.227 [2 per cell]
H1 0.250 0.250 0.023 [2 per cell]
H2 0.250 0.606 0.513 [4 per cell]


(4)
DFT (PBE) results for crystalline CaTa2Fe at its relaxed geometry.

N(E_F) (states/eV/f.u.): 4.7
Energy of formation from the pure elements (eV/atom): 0.305
Final energy (eV per formula unit): -33.0

Cell: 3.079 3.079 8.237 Å, 90.00 90.00 90.00°
Space group P4mm (No. 99)
One atom of each set of equivalent atoms:
Ca1 0.000 0.000 0.000 [1 per cell]
Ta1 0.000 0.000 0.411 [1 per cell]
Ta2 0.500 0.500 0.649 [1 per cell]
Fe1 0.500 0.500 0.260 [1 per cell]